(1)
GGA-PBE CaAgPbF6, relaxed; space group = P-31c, No. 163; uncorrected formation energy = -2.401 eV per atom
1.0
6.118 0.000 0.000
-3.059 5.299 0.000
0.000 0.000 9.441
F Ag Pb Ca
12 2 2 2
direct
0.342 0.005 0.629
0.337 0.995 0.129
0.337 0.342 0.371
0.005 0.663 0.371
0.658 0.663 0.129
0.005 0.342 0.129
0.663 0.658 0.629
0.342 0.337 0.871
0.658 0.995 0.371
0.995 0.337 0.629
0.995 0.658 0.871
0.663 0.005 0.871
0.000 0.000 0.500
0.000 0.000 0.000
0.333 0.667 0.750
0.667 0.333 0.250
0.667 0.333 0.750
0.333 0.667 0.250

(2)
GGA-PBE Sc3CrAu, relaxed; formation energy from the elements = 0.417 eV per atom; space group = Pm-3m, No. 221
1.0
5.165 0.000 0.000
0.000 5.165 0.000
0.000 0.000 5.165
Sc Au Cr
3 1 1
direct
0.500 0.000 0.000
0.000 0.000 0.500
0.000 0.500 0.000
0.000 0.000 0.000
0.500 0.500 0.500

(3)
GGA-PBE Cs2LiZrO4, relaxed; space group = Fddd, No. 70; uncorrected formation energy = -1.884 eV per atom
1.0
5.285 0.000 0.000
2.643 6.437 0.000
2.643 0.000 11.515
O Li Cs Zr
8 2 4 2
direct
0.467 0.673 0.410
0.122 0.327 0.410
0.283 0.827 0.090
0.551 0.327 0.590
0.199 0.173 0.910
0.628 0.173 0.090
0.891 0.827 0.910
0.859 0.673 0.590
0.500 0.000 0.000
0.250 0.500 0.500
0.575 0.500 0.851
0.175 0.000 0.649
0.925 0.500 0.149
0.825 0.000 0.351
0.000 0.000 0.000
0.750 0.500 0.500

(4)
GGA-PBE LaTaTe2, relaxed; space group = R-3m, No. 166; uncorrected formation energy = -0.237 eV per atom
1.0
9.498 -0.388 4.471
9.871 -3.009 1.968
10.441 0.473 1.059
Te Ta La
2 1 1
direct
0.894 0.894 0.894
0.106 0.106 0.106
0.500 0.500 0.500
0.000 0.000 0.000

Number 1: E -4.60 eV per atom. Number 2: E -5.96 eV per atom. Number 3: E -5.88 eV per atom. Number 4: E -6.00 eV per atom.